This record from the Alexandria database describes a relaxed K2CdSnI6 crystal. The functional is PBE.

Properties
* E_form (uncorrected): -0.89 eV per atom
* space-group type: R3

abc: 8.456 8.454 8.604
angles: 60.56 60.54 60.00
Sites, in units of the cell vectors:
I: 0.473 0.661 0.777
I: 0.089 0.473 0.777
I: 0.175 0.983 0.266
I: 0.661 0.089 0.777
I: 0.983 0.575 0.266
I: 0.575 0.175 0.266
K: 0.034 0.034 0.898
K: 0.535 0.535 0.395
Cd: 0.318 0.318 0.047
Sn: 0.818 0.818 0.545